Density functional theory data (PBE with a Hubbard U) for a relaxed CoPd2RhO crystal.

Cell lengths 4.5855, 4.5855, 4.5342 Å; angles 90.00, 90.00, 90.00 degrees
Last column: nearest neighbours and their distance in Å.
Space group P4/mmm (No. 123)
Asymmetric unit:
Co 0.0000 0.0000 0.0000 (multiplicity 1)  2 Rh 2.27, 4 Pd 2.29
Pd 0.0000 0.5000 0.0000 (multiplicity 2)  2 Co 2.29
Rh 0.0000 0.0000 0.5000 (multiplicity 1)  2 Co 2.27
O 0.5000 0.5000 0.5000 (multiplicity 1)  8 Pd 3.22, 4 Rh 3.24

Calculated values
Electronic total energy   -20.5 eV/cell
D(E_F)   4.997 states/eV/cell
Magnetization   5.97 μB/cell